1.
DFT (PBE) results for SrLa2Cl after structural relaxation.

Summary:
**Distance to the lowest polymorph of the same formula**: 18 meV per atom
**Uncorrected formation energy**: -15.23 kcal/mol of atoms

Geometry as CIF:
```
data_SrLa2Cl
_space_group_name_H-M_alt 'C m m 2'
_space_group_IT_number 35
_cell_length_a 4.318
_cell_length_b 6.249
_cell_length_c 10.522
_cell_angle_alpha 90.00
_cell_angle_beta 90.00
_cell_angle_gamma 90.00
loop_
_space_group_symop_operation_xyz
'x,y,z'
'-x,-y,z'
'-x,y,z'
'x,-y,z'
'x+1/2,y+1/2,z'
'-x+1/2,-y+1/2,z'
'-x+1/2,y+1/2,z'
'x+1/2,-y+1/2,z'
loop_
_atom_site_label
_atom_site_type_symbol
_atom_site_fract_x
_atom_site_fract_y
_atom_site_fract_z
_atom_site_occupancy
Sr1 Sr 0.000 0.000 0.000 1
La1 La 0.000 0.000 0.565 1
La2 La 0.000 0.500 0.311 1
Cl1 Cl 0.000 0.500 0.789 1
```



2.
DFT (PBE) results for Ca2GaTcB after structural relaxation.

Summary:
**VASP energy**: -4.197 eV per atom

Geometry as CIF:
```
data_Ca2GaTcB
_space_group_name_H-M_alt 'P 4/m m m'
_space_group_IT_number 123
_space_group_name_Hall '-P 4 2'
_cell_length_a 5.354
_cell_length_b 5.354
_cell_length_c 3.850
_cell_angle_alpha 90.00
_cell_angle_beta 90.00
_cell_angle_gamma 90.00
loop_
_atom_site_label
_atom_site_type_symbol
_atom_site_fract_x
_atom_site_fract_y
_atom_site_fract_z
_atom_site_occupancy
Ca1 Ca 0.000 0.500 0.000 1
Ga1 Ga 0.000 0.000 0.500 1
Tc1 Tc 0.500 0.500 0.500 1
B1 B 0.000 0.000 0.000 1
```



Ordered M_tot results: 0.007, 2.907; unit μB/cell.